{"formula": "NaDyCdTe3", "functional": "GGA-PBE", "state": "optimized geometry", "e_above_lowest_polymorph_ev_per_atom": 0.0689, "space_group": "No. 62", "magnetic_moment_mub_per_fu": 0.00, "cell": [[-1.7020, 5.1444, 6.7647], [3.2835, -2.0106, 2.3551], [12.3592, 12.6014, -6.4735]], "species": ["Te", "Te", "Te", "Te", "Te", "Te", "Te", "Te", "Te", "Te", "Te", "Te", "Dy", "Dy", "Dy", "Dy", "Na", "Na", "Na", "Na", "Cd", "Cd", "Cd", "Cd"], "fractional_positions": [[0.2744, 0.2500, 0.2075], [0.1268, 0.2500, 0.4352], [0.6268, 0.2500, 0.0648], [0.7744, 0.2500, 0.2925], [0.2256, 0.7500, 0.7075], [0.0079, 0.7500, 0.0744], [0.3732, 0.7500, 0.9352], [0.8732, 0.7500, 0.5648], [0.4921, 0.2500, 0.5744], [0.9921, 0.2500, 0.9256], [0.5079, 0.7500, 0.4256], [0.7256, 0.7500, 0.7925], [0.2279, 0.7500, 0.5390], [0.2721, 0.2500, 0.0390], [0.7721, 0.2500, 0.4610], [0.7279, 0.7500, 0.9610], [0.0652, 0.7500, 0.3042], [0.9348, 0.2500, 0.6958], [0.5652, 0.7500, 0.1958], [0.4348, 0.2500, 0.8042], [0.4383, 0.2500, 0.3357], [0.0617, 0.7500, 0.8357], [0.9383, 0.2500, 0.1643], [0.5617, 0.7500, 0.6643]]}

=====

{"formula": "NaDyCdTe3", "functional": "GGA-PBE", "state": "optimized geometry", "e_above_lowest_polymorph_ev_per_atom": 0.0633, "space_group": "No. 12", "magnetic_moment_mub_per_fu": 0.00, "cell": [[1.6577, 4.3212, -8.9960], [-2.7008, 4.0922, -8.8492], [-0.1803, 7.1806, 5.8456]], "species": ["Te", "Te", "Te", "Te", "Te", "Te", "Cd", "Cd", "Na", "Na", "Dy", "Dy"], "fractional_positions": [[0.3343, 0.3343, 0.6436], [0.5000, 0.5000, 0.0000], [0.6657, 0.6657, 0.3564], [0.0000, 0.0000, 0.5000], [0.3190, 0.3190, 0.1711], [0.6810, 0.6810, 0.8289], [0.4654, 0.4654, 0.2762], [0.5346, 0.5346, 0.7238], [0.1262, 0.1262, 0.0788], [0.8738, 0.8738, 0.9212], [0.1781, 0.1781, 0.5918], [0.8219, 0.8219, 0.4082]]}

=====

{"formula": "NaDyCdTe3", "functional": "GGA-PBE", "state": "optimized geometry", "e_above_lowest_polymorph_ev_per_atom": 0.0011, "space_group": "No. 63", "magnetic_moment_mub_per_fu": 0.00, "cell": [[4.3779, 0.0000, 0.0000], [2.1890, 7.4449, 0.0000], [0.0000, 0.0000, 11.6776]], "species": ["Te", "Te", "Te", "Te", "Te", "Te", "Dy", "Dy", "Na", "Na", "Cd", "Cd"], "fractional_positions": [[0.3588, 0.2823, 0.9439], [0.3588, 0.2823, 0.5561], [0.6412, 0.7177, 0.0561], [0.6412, 0.7177, 0.4439], [0.0923, 0.8154, 0.7500], [0.9077, 0.1846, 0.2500], [0.0000, 0.0000, 0.5000], [0.0000, 0.0000, 0.0000], [0.2321, 0.5358, 0.2500], [0.7679, 0.4642, 0.7500], [0.4699, 0.0602, 0.7500], [0.5301, 0.9398, 0.2500]]}

=====

{"formula": "NaDyCdTe3", "functional": "GGA-PBE", "state": "optimized geometry", "e_above_lowest_polymorph_ev_per_atom": 0.0003, "space_group": "No. 11", "magnetic_moment_mub_per_fu": 0.01, "cell": [[8.6393, 0.0000, 0.0000], [0.0000, 4.4090, 0.0000], [-2.7491, 0.0000, 10.3086]], "species": ["Dy", "Dy", "Te", "Te", "Te", "Te", "Te", "Te", "Cd", "Cd", "Na", "Na"], "fractional_positions": [[0.1787, 0.2500, 0.6432], [0.8213, 0.7500, 0.3568], [0.5694, 0.2500, 0.3637], [0.0655, 0.2500, 0.3466], [0.4306, 0.7500, 0.6363], [0.7633, 0.7500, 0.0417], [0.2367, 0.2500, 0.9583], [0.9345, 0.7500, 0.6534], [0.5832, 0.2500, 0.1047], [0.4168, 0.7500, 0.8953], [0.2766, 0.7500, 0.2487], [0.7234, 0.2500, 0.7513]]}

=====

{"formula": "DyNbCd", "functional": "GGA-PBE", "state": "optimized geometry", "space_group": "No. 216", "e_form_mev_per_atom": 853, "magnetic_moment_mub_per_fu": 2.49, "cell": [[0.0000, 3.4335, 3.4335], [3.4335, 0.0000, 3.4335], [3.4335, 3.4335, 0.0000]], "species": ["Nb", "Cd", "Dy"], "fractional_positions": [[0.0000, 0.0000, 0.0000], [0.2500, 0.2500, 0.2500], [0.7500, 0.7500, 0.7500]]}

=====

{"formula": "NdDyCd6", "functional": "GGA-PBE", "state": "optimized geometry", "e_above_lowest_polymorph_ev_per_atom": 0.0035, "space_group": "No. 25", "e_form_mev_per_atom": -300, "magnetic_moment_mub_per_fu": 0.01, "cell": [[-1.7314, -1.1177, 4.6602], [6.6484, -2.0255, 1.9842], [0.9992, 4.7625, 1.5135]], "species": ["Dy", "Cd", "Cd", "Cd", "Cd", "Cd", "Cd", "Nd"], "fractional_positions": [[0.0000, 0.0000, 0.7460], [0.0000, 0.5000, 0.7473], [0.0000, 0.7551, 0.2457], [0.5000, 0.7551, 0.7542], [0.5000, 0.0000, 0.2534], [0.5000, 0.2449, 0.7542], [0.0000, 0.2449, 0.2457], [0.5000, 0.5000, 0.2536]]}

=====

{"formula": "NdDyCd6", "functional": "GGA-PBE", "state": "optimized geometry", "e_above_lowest_polymorph_ev_per_atom": 0.0015, "space_group": "No. 123", "e_form_mev_per_atom": -302, "magnetic_moment_mub_per_fu": 0.01, "cell": [[-1.5173, -3.0632, 3.8023], [4.4746, -2.4658, -0.2008], [2.7759, 4.6426, 4.8479]], "species": ["Cd", "Cd", "Cd", "Cd", "Cd", "Cd", "Nd", "Dy"], "fractional_positions": [[0.5000, 0.5000, 0.0000], [0.0000, 0.0000, 0.5000], [0.0000, 0.5000, 0.2554], [0.0000, 0.5000, 0.7446], [0.5000, 0.0000, 0.2554], [0.5000, 0.0000, 0.7446], [0.0000, 0.0000, 0.0000], [0.5000, 0.5000, 0.5000]]}

=====

{"formula": "NdDyCd6", "functional": "GGA-PBE", "state": "optimized geometry", "e_above_lowest_polymorph_ev_per_atom": 0.0000, "space_group": "No. 187", "e_form_mev_per_atom": -303, "magnetic_moment_mub_per_fu": 0.01, "cell": [[-0.8683, -6.4379, 1.4512], [2.3640, 4.1644, 4.6234], [-4.6593, 0.9687, 1.5098]], "species": ["Cd", "Cd", "Cd", "Cd", "Cd", "Cd", "Dy", "Nd"], "fractional_positions": [[0.5075, 0.4925, 0.5000], [0.9849, 0.4925, 0.5000], [0.8303, 0.6606, 0.0000], [0.3394, 0.1697, 0.0000], [0.5075, 0.0151, 0.5000], [0.8303, 0.1697, 0.0000], [0.0000, 0.0000, 0.5000], [0.3333, 0.6667, 0.0000]]}

=====

{"formula": "NdDy2Tl2Cd4", "functional": "GGA-PBE", "state": "optimized geometry", "space_group": "No. 38", "magnetic_moment_mub_per_fu": 0.01, "energy_ev_per_atom": -2.819, "cell": [[-2.0908, -3.5338, -2.0937], [6.4552, -1.5948, -3.7547], [-1.4423, -3.1723, 6.7946]], "species": ["Tl", "Tl", "Cd", "Cd", "Cd", "Cd", "Dy", "Dy", "Nd"], "fractional_positions": [[0.5000, 0.3322, 0.6710], [0.5000, 0.6710, 0.3322], [0.5000, 0.0004, 0.2386], [0.5000, 0.7599, 0.7599], [0.5000, 0.2386, 0.0004], [0.0000, 0.9936, 0.9936], [0.0000, 0.0021, 0.5763], [0.0000, 0.5763, 0.0021], [0.0000, 0.4260, 0.4260]]}

=====

{"formula": "Nd2DyTl2Zn3Cd", "functional": "GGA-PBE", "state": "optimized geometry", "space_group": "No. 38", "magnetic_moment_mub_per_fu": 0.02, "energy_ev_per_atom": -2.921, "cell": [[-3.9982, 0.7088, 2.1853], [-1.4399, -7.1980, -0.2996], [3.6401, 2.6871, 5.7882]], "species": ["Dy", "Zn", "Zn", "Zn", "Nd", "Nd", "Tl", "Tl", "Cd"], "fractional_positions": [[0.0000, 0.4224, 0.4224], [0.5000, 0.7728, 0.7728], [0.5000, 0.9993, 0.2299], [0.5000, 0.2299, 0.9993], [0.0000, 0.9974, 0.5745], [0.0000, 0.5745, 0.9974], [0.5000, 0.3346, 0.6605], [0.5000, 0.6605, 0.3346], [0.0000, 0.0086, 0.0086]]}

=====

{"formula": "NdDy2Tl2Zn3Cd", "functional": "GGA-PBE", "state": "optimized geometry", "space_group": "No. 38", "magnetic_moment_mub_per_fu": 0.01, "energy_ev_per_atom": -2.901, "cell": [[-3.0987, 3.3135, 0.6209], [-3.6335, -4.2831, 4.7242], [5.2967, 4.5178, 2.3237]], "species": ["Dy", "Dy", "Zn", "Zn", "Zn", "Nd", "Tl", "Tl", "Cd"], "fractional_positions": [[0.0000, 0.5759, 0.0029], [0.0000, 0.0029, 0.5759], [0.5000, 0.2291, 0.0004], [0.5000, 0.7684, 0.7684], [0.5000, 0.0004, 0.2291], [0.0000, 0.4271, 0.4271], [0.5000, 0.6725, 0.3324], [0.5000, 0.3324, 0.6725], [0.0000, 0.9914, 0.9914]]}

=====

{"formula": "Dy2Cd3Ni2", "functional": "GGA-PBE", "state": "optimized geometry", "space_group": "No. 65", "e_form_mev_per_atom": -375, "magnetic_moment_mub_per_fu": 0.00, "cell": [[3.4136, 9.8722, -0.5032], [-4.7881, -8.4443, 3.8902], [3.0628, -0.9748, 1.6539]], "species": ["Dy", "Dy", "Cd", "Cd", "Cd", "Ni", "Ni"], "fractional_positions": [[0.3271, 0.6729, 0.0000], [0.6729, 0.3271, 0.0000], [0.0780, 0.9220, 0.5000], [0.5000, 0.5000, 0.0000], [0.9220, 0.0780, 0.5000], [0.2140, 0.7860, 0.5000], [0.7860, 0.2140, 0.5000]]}